First-principles (PBE with a Hubbard U) data for a relaxed structure of ZnCoO3, as listed in Alexandria.

The space group is C2/c (No. 15) and the conventional cell measures 9.5803, 8.5900 and 5.1031 Å, with angles of 90.00, 97.81 and 90.00 degrees. The distinct sites, in fractional coordinates, are Zn at (0.1839, 0.0952, 0.3084), Co at (0.0000, 0.2466, 0.7500), Co at (0.0000, 0.4113, 0.2500), O at (0.1012, 0.2680, 0.0949), O at (0.1014, 0.4179, 0.6091) and O at (0.1276, 0.1085, 0.6576).

Its total energy is -5.21 eV per atom. The calculation puts the magnetization at 8.0 μB per cell.